(P)
# LaBi2Pd7, relaxed, DFT PBE
data_LaBi2Pd7
_space_group_name_H-M_alt 'C m m m'
_space_group_IT_number 65
_space_group_name_Hall '-C 2 2'
_cell_length_a 7.5253
_cell_length_b 13.5902
_cell_length_c 4.6487
_cell_angle_alpha 90.00
_cell_angle_beta 90.00
_cell_angle_gamma 90.00
loop_
_atom_site_label
_atom_site_fract_x
_atom_site_fract_y
_atom_site_fract_z
_atom_site_occupancy
La1 0.0000 0.0000 0.0000 1
Bi1 0.0000 0.3019 0.5000 1
Pd1 0.0000 0.2035 0.0000 1
Pd2 0.0000 0.5000 0.5000 1
Pd3 0.1796 0.1068 0.5000 1
# - Spin magnetization: 0.00 μB/cell

---

(Q)
# LaBi2Pd7, relaxed, DFT PBE
data_LaBi2Pd7
_space_group_name_H-M_alt 'I 4/m m m'
_space_group_IT_number 139
_space_group_name_Hall '-I 4 2'
_cell_length_a 4.1348
_cell_length_b 4.1348
_cell_length_c 24.0077
_cell_angle_alpha 90.00
_cell_angle_beta 90.00
_cell_angle_gamma 90.00
loop_
_atom_site_label
_atom_site_fract_x
_atom_site_fract_y
_atom_site_fract_z
_atom_site_occupancy
La1 0.0000 0.0000 0.0000 1
Bi1 0.0000 0.0000 0.3303 1
Pd1 0.0000 0.0000 0.5000 1
Pd2 0.0000 0.5000 0.0907 1
Pd3 0.0000 0.5000 0.2500 1
# - Spin magnetization: 0.00 μB/cell

---

(Q) comes first in stability; the runner-up is 21.4 kJ/mol of atoms higher.

---

(P)
# La2BiPd9, relaxed, DFT PBE
data_La2BiPd9
_space_group_name_H-M_alt 'P 4/m m m'
_space_group_IT_number 123
_space_group_name_Hall '-P 4 2'
_cell_length_a 4.2135
_cell_length_b 4.2135
_cell_length_c 12.5234
_cell_angle_alpha 90.00
_cell_angle_beta 90.00
_cell_angle_gamma 90.00
loop_
_atom_site_label
_atom_site_fract_x
_atom_site_fract_y
_atom_site_fract_z
_atom_site_occupancy
La1 0.0000 0.0000 0.1679 1
Bi1 0.0000 0.0000 0.5000 1
Pd1 0.0000 0.5000 0.0000 1
Pd2 0.0000 0.5000 0.3396 1
Pd3 0.5000 0.5000 0.1735 1
Pd4 0.5000 0.5000 0.5000 1
# - Spin magnetization: 0.00 μB/cell

---

(Q)
# La2BiPd9, relaxed, DFT PBE
data_La2BiPd9
_space_group_name_H-M_alt 'R -3 m'
_space_group_IT_number 166
_space_group_name_Hall '-R 3 2"'
_cell_length_a 5.4491
_cell_length_b 5.4491
_cell_length_c 27.2460
_cell_angle_alpha 90.00
_cell_angle_beta 90.00
_cell_angle_gamma 120.00
loop_
_atom_site_label
_atom_site_fract_x
_atom_site_fract_y
_atom_site_fract_z
_atom_site_occupancy
La1 0.0000 0.0000 0.1328 1
Bi1 0.0000 0.0000 0.0000 1
Pd1 0.0000 0.0000 0.3327 1
Pd2 0.0000 0.0000 0.5000 1
Pd3 0.0021 0.5010 0.9147 1
# - Spin magnetization: 0.00 μB/cell

---

(P) comes first in stability; the runner-up is 9.9 kJ/mol of atoms higher.